1.
The following is a DFT calculation (GGA+U) of a relaxed HWO crystal.

SG: P-6m2, No. 187
ΔE to the lowest computed polymorph in eV per atom: 0.156

a = 3.1887 Å, b = 3.1887 Å, c = 3.8518 Å
α = 90.00°, β = 90.00°, γ = 120.00°
Atoms (fractional coordinates):
H 0.6667 0.3333 0.5000
W 0.0000 0.0000 0.5000
O 0.0000 0.0000 0.0000


2.
The following is a DFT calculation (GGA+U) of a relaxed H3WO crystal.

SG: Pm-3m, No. 221
ΔE to the lowest computed polymorph in eV per atom: 0.000

a = 3.6163 Å, b = 3.6163 Å, c = 3.6163 Å
α = 90.00°, β = 90.00°, γ = 90.00°
Atoms (fractional coordinates):
H 0.0000 0.5000 0.0000
H 0.0000 0.0000 0.5000
H 0.5000 0.0000 0.0000
O 0.5000 0.5000 0.5000
W 0.0000 0.0000 0.0000


3.
The following is a DFT calculation (GGA+U) of a relaxed H2W2O7 crystal.

SG: Fdd2, No. 43
ΔE to the lowest computed polymorph in eV per atom: 0.000

a = 7.3725 Å, b = 7.3677 Å, c = 7.3670 Å
α = 60.05°, β = 59.98°, γ = 59.97°
Atoms (fractional coordinates):
H 0.8145 0.7854 0.8230
H 0.8230 0.5770 0.8145
H 0.6730 0.4270 0.4646
H 0.4646 0.4355 0.6730
W 0.2519 0.0042 0.7501
W 0.2563 0.4999 0.2458
W 0.7501 0.9937 0.2519
W 0.2458 0.9981 0.2563
O 0.9438 0.0537 0.3125
O 0.3125 0.6900 0.9438
O 0.3117 0.6883 0.3117
O 0.9462 0.0538 0.9462
O 0.3102 0.0550 0.9465
O 0.9465 0.6883 0.3102
O 0.5600 0.9375 0.1963
O 0.1963 0.3062 0.5600
O 0.1962 0.3038 0.1962
O 0.5617 0.9383 0.5617
O 0.1950 0.9398 0.5617
O 0.5617 0.3035 0.1950
O 0.8762 0.6238 0.8762
O 0.6262 0.3738 0.6262


4.
The following is a DFT calculation (GGA+U) of a relaxed HW2O crystal.

SG: Fm-3m, No. 225
ΔE to the lowest computed polymorph in eV per atom: 0.810

a = 4.0106 Å, b = 4.0106 Å, c = 4.0106 Å
α = 60.00°, β = 60.00°, γ = 60.00°
Atoms (fractional coordinates):
H 0.0000 0.0000 0.0000
O 0.5000 0.5000 0.5000
W 0.2500 0.2500 0.2500
W 0.7500 0.7500 0.7500


5.
The following is a DFT calculation (GGA+U) of a relaxed HWO crystal.

SG: Amm2, No. 38
ΔE to the lowest computed polymorph in eV per atom: 0.386

a = 4.2550 Å, b = 3.1641 Å, c = 4.7810 Å
α = 90.00°, β = 90.00°, γ = 90.00°
Atoms (fractional coordinates):
H 0.0000 0.0000 0.2419
H 0.0000 0.5000 0.7419
W 0.5000 0.0000 0.4811
W 0.5000 0.5000 0.9811
O 0.0000 0.0000 0.4497
O 0.0000 0.5000 0.9497


6.
The following is a DFT calculation (GGA+U) of a relaxed HWO crystal.

SG: P4/mmm, No. 123
ΔE to the lowest computed polymorph in eV per atom: 0.000

a = 3.1441 Å, b = 3.7751 Å, c = 3.1456 Å
α = 90.00°, β = 90.00°, γ = 90.00°
Atoms (fractional coordinates):
H 0.0000 0.5000 0.0000
O 0.5000 0.0000 0.5000
W 0.0000 0.0000 0.0000


7.
The following is a DFT calculation (GGA+U) of a relaxed HWO crystal.

SG: Cm, No. 8
ΔE to the lowest computed polymorph in eV per atom: 0.160

a = 4.6430 Å, b = 2.8343 Å, c = 6.0354 Å
α = 90.00°, β = 128.59°, γ = 90.00°
Atoms (fractional coordinates):
H 0.7007 0.0000 0.9667
H 0.7007 0.5000 0.4667
W 0.8441 0.0000 0.3416
W 0.8441 0.5000 0.8416
O 0.2721 0.0000 0.0556
O 0.2721 0.5000 0.5556


Please write out number 6 again, unchanged.
The following is a DFT calculation (GGA+U) of a relaxed HWO crystal.

SG: P4/mmm, No. 123
ΔE to the lowest computed polymorph in eV per atom: 0.000

a = 3.1441 Å, b = 3.7751 Å, c = 3.1456 Å
α = 90.00°, β = 90.00°, γ = 90.00°
Atoms (fractional coordinates):
H 0.0000 0.5000 0.0000
O 0.5000 0.0000 0.5000
W 0.0000 0.0000 0.0000


What did the sixth record say?
The following is a DFT calculation (GGA+U) of a relaxed HWO crystal.

SG: P4/mmm, No. 123
ΔE to the lowest computed polymorph in eV per atom: 0.000

a = 3.1441 Å, b = 3.7751 Å, c = 3.1456 Å
α = 90.00°, β = 90.00°, γ = 90.00°
Atoms (fractional coordinates):
H 0.0000 0.5000 0.0000
O 0.5000 0.0000 0.5000
W 0.0000 0.0000 0.0000


Q: Which formula does entry 2 have?
A: H3WO


Q: Which of these has the highest ΔE to the lowest computed polymorph?
A: HW2O